First-principles (PBE) data for crystalline MgAs2IrBr at its relaxed geometry, as listed in Alexandria.

Cell lengths 4.785, 4.785, 5.472 Å; angles 90.00, 90.00, 90.00 degrees
Space group P4/mmm (No. 123)
One atom of each set of equivalent atoms:
Mg (0.000, 0.000, 0.000)
As (0.000, 0.500, 0.500)
Ir (0.500, 0.500, 0.500)
Br (0.500, 0.500, 0.000)

Output
N(E_F) = 4.285 states/eV/f.u.
final energy = -19.92 eV/cell
excess energy over the best structure of this formula in the dataset = 0 meV/atom
size of the total moment = 0.000 μB per formula unit
volume = 25.061 Å³/atom
crystal system = tetragonal
E_form (uncorrected) = 1.5 eV per formula unit